Entry 1:
First-principles (GGA-PBE) data for TaSnSe2 after structural relaxation, as listed in Alexandria via LeMat-Bulk.

Computed properties:
The density of states at the Fermi level is 1.85 states/eV/f.u. For the uncorrected formation energy, the calculation gives -1.32 eV/f.u. The space-group type is P2_1/m, No. 11. The calculation puts the energy at -6.035 eV/atom.

Lattice parameters (Å, degrees): 3.392 7.502 8.062 90.00 90.00 118.08
Sites, in units of the cell vectors:
Ta 0.735 0.484 0.750
Ta 0.265 0.516 0.250
Se 0.549 0.309 0.062
Se 0.451 0.691 0.562
Se 0.549 0.309 0.438
Se 0.451 0.691 0.938
Sn 0.844 0.106 0.750
Sn 0.156 0.894 0.250



Entry 2:
First-principles (GGA-PBE) data for TaSnSe3 after structural relaxation, as listed in Alexandria via LeMat-Bulk.

Computed properties:
The density of states at the Fermi level is 3.27 states/eV/f.u. For the uncorrected formation energy, the calculation gives 5.04 eV/f.u. The space-group type is Pm-3m, No. 221. The calculation puts the energy at -4.255 eV/atom.

Lattice parameters (Å, degrees): 5.145 5.145 5.145 90.00 90.00 90.00
Sites, in units of the cell vectors:
Sn 0.000 0.000 0.000
Se 0.000 0.000 0.500
Se 0.000 0.500 0.000
Se 0.500 0.000 0.000
Ta 0.500 0.500 0.500



Entry 3:
First-principles (GGA-PBE) data for TaSnSe2 after structural relaxation, as listed in Alexandria via LeMat-Bulk.

Computed properties:
The density of states at the Fermi level is 2.19 states/eV/f.u. For the uncorrected formation energy, the calculation gives 0.44 eV/f.u. The space-group type is I-42d, No. 122. The calculation puts the energy at -5.597 eV/atom.

Lattice parameters (Å, degrees): 6.724 6.724 7.162 62.00 62.00 90.00
Sites, in units of the cell vectors:
Se 0.686 0.125 0.250
Se 0.875 0.936 0.750
Se 0.375 0.314 0.750
Se 0.064 0.625 0.250
Ta 0.000 0.000 0.000
Ta 0.750 0.250 0.500
Sn 0.500 0.500 0.000
Sn 0.250 0.750 0.500



Entry 4:
First-principles (GGA-PBE) data for TaSnSe3 after structural relaxation, as listed in Alexandria via LeMat-Bulk.

Computed properties:
The density of states at the Fermi level is 3.07 states/eV/f.u. For the uncorrected formation energy, the calculation gives -1.04 eV/f.u. The space-group type is Pm-3m, No. 221. The calculation puts the energy at -5.470 eV/atom.

Lattice parameters (Å, degrees): 5.062 5.062 5.062 90.00 90.00 90.00
Sites, in units of the cell vectors:
Se 0.500 0.000 0.000
Se 0.000 0.500 0.000
Se 0.000 0.000 0.500
Sn 0.500 0.500 0.500
Ta 0.000 0.000 0.000



Entry 5:
First-principles (GGA-PBE) data for TaSnSe2 after structural relaxation, as listed in Alexandria via LeMat-Bulk.

Computed properties:
The density of states at the Fermi level is 2.27 states/eV/f.u. For the uncorrected formation energy, the calculation gives 0.40 eV/f.u. The space-group type is Fm-3m, No. 225. The calculation puts the energy at -5.606 eV/atom.

Lattice parameters (Å, degrees): 4.819 4.819 4.819 60.00 60.00 60.00
Sites, in units of the cell vectors:
Se 0.750 0.750 0.750
Se 0.250 0.250 0.250
Ta 0.500 0.500 0.500
Sn 0.000 0.000 0.000



Entry 6:
First-principles (GGA-PBE) data for TaSn2Se6 after structural relaxation, as listed in Alexandria via LeMat-Bulk.

Computed properties:
The density of states at the Fermi level is 1.95 states/eV/f.u. For the uncorrected formation energy, the calculation gives -4.26 eV/f.u. The space-group type is C2/m, No. 12. The calculation puts the energy at -5.003 eV/atom.

Lattice parameters (Å, degrees): 3.736 8.063 9.210 106.16 101.70 90.00
Sites, in units of the cell vectors:
Se 0.997 0.768 0.994
Se 0.650 0.078 0.300
Se 0.350 0.922 0.700
Se 0.673 0.588 0.347
Se 0.003 0.232 0.006
Se 0.327 0.412 0.653
Ta 0.500 0.000 0.000
Sn 0.166 0.339 0.333
Sn 0.834 0.661 0.667



Entry 7:
First-principles (GGA-PBE) data for TaSnSe4 after structural relaxation, as listed in Alexandria via LeMat-Bulk.

Computed properties:
The density of states at the Fermi level is 3.48 states/eV/f.u. For the uncorrected formation energy, the calculation gives -3.29 eV/f.u. The space-group type is C2/m, No. 12. As for the excess energy over the best structure of this formula in the dataset: 0 meV per atom. The calculation puts the energy at -5.514 eV/atom.

Lattice parameters (Å, degrees): 3.699 7.588 6.839 116.64 90.01 104.11
Sites, in units of the cell vectors:
Se 0.618 0.236 0.964
Se 0.382 0.764 0.036
Se 0.880 0.761 0.577
Se 0.120 0.239 0.423
Sn 0.500 0.000 0.500
Ta 0.000 0.000 0.000



Entry 8:
First-principles (GGA-PBE) data for TaSnSe2 after structural relaxation, as listed in Alexandria via LeMat-Bulk.

Computed properties:
The density of states at the Fermi level is 2.09 states/eV/f.u. For the uncorrected formation energy, the calculation gives -1.92 eV/f.u. The space-group type is R3m, No. 160. The calculation puts the energy at -6.186 eV/atom.

Lattice parameters (Å, degrees): 3.415 3.415 9.536 79.69 79.69 60.00
Sites, in units of the cell vectors:
Se 0.273 0.273 0.182
Se 0.062 0.062 0.813
Ta 0.667 0.667 0.998
Sn 0.497 0.497 0.508



Entry 9:
First-principles (GGA-PBE) data for TaSnSe2 after structural relaxation, as listed in Alexandria via LeMat-Bulk.

Computed properties:
The density of states at the Fermi level is 1.94 states/eV/f.u. For the uncorrected formation energy, the calculation gives -2.21 eV/f.u. The space-group type is P1, No. 1. The calculation puts the energy at -6.258 eV/atom.

Lattice parameters (Å, degrees): 3.419 6.130 9.559 83.73 79.82 90.00
Sites, in units of the cell vectors:
Se 0.129 0.871 0.140
Se 0.643 0.368 0.108
Se 0.952 0.474 0.496
Se 0.468 0.971 0.464
Ta 0.050 0.214 0.300
Ta 0.547 0.629 0.304
Sn 0.692 0.420 0.802
Sn 0.318 0.920 0.802



Entry 10:
First-principles (GGA-PBE) data for Ta2SnSe4 after structural relaxation, as listed in Alexandria via LeMat-Bulk.

Computed properties:
The density of states at the Fermi level is 4.13 states/eV/f.u. For the uncorrected formation energy, the calculation gives -3.91 eV/f.u. The space-group type is P2/m, No. 10. The calculation puts the energy at -6.508 eV/atom.

Lattice parameters (Å, degrees): 3.413 6.020 8.670 95.93 90.00 90.00
Sites, in units of the cell vectors:
Se 0.500 0.699 0.698
Se 0.000 0.803 0.303
Se 0.500 0.301 0.302
Se 0.000 0.197 0.697
Ta 0.500 0.000 0.500
Ta 0.000 0.500 0.500
Sn 0.999 0.000 0.000



Entry 11:
First-principles (GGA-PBE) data for TaTi2SnSe after structural relaxation, as listed in Alexandria via LeMat-Bulk.

Computed properties:
The density of states at the Fermi level is 8.39 states/eV/f.u. For the uncorrected formation energy, the calculation gives 7.83 eV/f.u. The space-group type is P4/mmm, No. 123. The calculation puts the energy at -5.461 eV/atom.

Lattice parameters (Å, degrees): 5.011 5.080 5.011 90.00 90.00 90.00
Sites, in units of the cell vectors:
Ti 0.000 0.000 0.500
Ti 0.500 0.000 0.000
Sn 0.000 0.000 0.000
Se 0.000 0.500 0.000
Ta 0.500 0.500 0.500



Entry 12:
First-principles (GGA-PBE) data for TaTl3Sn2Se6 after structural relaxation, as listed in Alexandria via LeMat-Bulk.

Computed properties:
For the uncorrected formation energy, the calculation gives -6.49 eV/f.u. The space-group type is C2/m, No. 12. The calculation puts the energy at -4.529 eV/atom.

Lattice parameters (Å, degrees): 7.247 7.247 7.844 98.81 98.81 119.64
Sites, in units of the cell vectors:
Se 0.229 0.229 0.795
Se 0.066 0.364 0.198
Se 0.364 0.066 0.198
Se 0.636 0.934 0.802
Se 0.934 0.636 0.802
Se 0.771 0.771 0.205
Sn 0.333 0.667 0.000
Sn 0.667 0.333 0.000
Tl 0.170 0.830 0.500
Tl 0.500 0.500 0.500
Tl 0.830 0.170 0.500
Ta 0.000 0.000 0.000



Entry 13:
First-principles (GGA-PBE) data for TaTl3Sn3Se8 after structural relaxation, as listed in Alexandria via LeMat-Bulk.

Computed properties:
The density of states at the Fermi level is 4.82 states/eV/f.u. For the uncorrected formation energy, the calculation gives -7.61 eV/f.u. The space-group type is C2/m, No. 12. The calculation puts the energy at -4.430 eV/atom.

Lattice parameters (Å, degrees): 8.165 8.155 9.093 116.49 90.00 120.04
Sites, in units of the cell vectors:
Tl 0.000 0.000 0.000
Tl 0.500 0.500 0.000
Tl 0.000 0.500 0.000
Se 0.261 0.521 0.283
Se 0.784 0.026 0.309
Se 0.784 0.568 0.309
Se 0.759 0.974 0.691
Se 0.216 0.432 0.691
Se 0.241 0.026 0.309
Se 0.739 0.479 0.717
Se 0.216 0.974 0.691
Sn 0.500 0.000 0.500
Sn 0.500 0.500 0.500
Sn 0.000 0.500 0.500
Ta 0.000 0.000 0.500



Entry 14:
First-principles (GGA-PBE) data for Tb4SnSe4 after structural relaxation, as listed in Alexandria via LeMat-Bulk.

Computed properties:
The density of states at the Fermi level is 1.16 states/eV/f.u. For the uncorrected formation energy, the calculation gives -14.45 eV/f.u. The space-group type is C2/m, No. 12. The calculation puts the energy at -5.657 eV/atom.

Lattice parameters (Å, degrees): 4.121 7.387 9.375 76.14 77.30 73.80
Sites, in units of the cell vectors:
Tb 0.708 0.892 0.692
Tb 0.097 0.691 0.115
Tb 0.292 0.108 0.308
Tb 0.903 0.309 0.885
Se 0.703 0.400 0.195
Se 0.890 0.825 0.395
Se 0.297 0.600 0.805
Se 0.110 0.175 0.605
Sn 0.500 0.000 0.000



Entry 15:
First-principles (GGA-PBE) data for Tb4SnSe2 after structural relaxation, as listed in Alexandria via LeMat-Bulk.

Computed properties:
The density of states at the Fermi level is 4.90 states/eV/f.u. For the uncorrected formation energy, the calculation gives -8.78 eV/f.u. The space-group type is Cmcm, No. 63. The calculation puts the energy at -5.468 eV/atom.

Lattice parameters (Å, degrees): 4.212 6.934 13.757 90.00 90.00 107.68
Sites, in units of the cell vectors:
Se 0.136 0.271 0.441
Se 0.864 0.729 0.559
Se 0.864 0.729 0.941
Se 0.136 0.271 0.059
Tb 0.940 0.879 0.750
Tb 0.500 0.000 0.500
Tb 0.500 0.000 0.000
Tb 0.230 0.460 0.877
Tb 0.230 0.460 0.623
Tb 0.060 0.121 0.250
Tb 0.770 0.540 0.377
Tb 0.770 0.540 0.123
Sn 0.608 0.216 0.750
Sn 0.392 0.784 0.250



Entry 16:
First-principles (GGA-PBE) data for Tb3SnSe after structural relaxation, as listed in Alexandria via LeMat-Bulk.

Computed properties:
The density of states at the Fermi level is 4.97 states/eV/f.u. For the uncorrected formation energy, the calculation gives -4.46 eV/f.u. The space-group type is P2_1/c, No. 14. The calculation puts the energy at -5.167 eV/atom.

Lattice parameters (Å, degrees): 6.676 10.824 9.187 118.18 90.00 90.00
Sites, in units of the cell vectors:
Tb 0.915 0.468 0.669
Tb 0.812 0.326 0.920
Tb 0.415 0.032 0.831
Tb 0.188 0.674 0.080
Tb 0.589 0.332 0.281
Tb 0.911 0.832 0.781
Tb 0.085 0.532 0.331
Tb 0.688 0.826 0.420
Tb 0.312 0.174 0.580
Tb 0.585 0.968 0.169
Tb 0.411 0.668 0.719
Tb 0.089 0.168 0.219
Se 0.270 0.399 0.497
Se 0.730 0.601 0.503
Se 0.230 0.899 0.997
Se 0.770 0.101 0.003
Sn 0.796 0.154 0.508
Sn 0.704 0.654 0.008
Sn 0.296 0.346 0.992
Sn 0.204 0.846 0.492



Entry 17:
First-principles (GGA-PBE) data for Tb2SnSe5 after structural relaxation, as listed in Alexandria via LeMat-Bulk.

Computed properties:
For the uncorrected formation energy, the calculation gives -9.65 eV/f.u. The space-group type is Cmcm, No. 63. The calculation puts the energy at -5.042 eV/atom.

Lattice parameters (Å, degrees): 5.757 7.678 13.137 90.00 90.00 112.02
Sites, in units of the cell vectors:
Se 0.969 0.938 0.908
Se 0.692 0.385 0.914
Se 0.969 0.938 0.592
Se 0.031 0.062 0.408
Se 0.031 0.062 0.092
Se 0.308 0.615 0.086
Se 0.724 0.449 0.250
Se 0.308 0.615 0.414
Se 0.276 0.551 0.750
Se 0.692 0.385 0.586
Tb 0.167 0.335 0.570
Tb 0.833 0.665 0.430
Tb 0.833 0.665 0.070
Tb 0.167 0.335 0.930
Sn 0.183 0.366 0.250
Sn 0.817 0.634 0.750



Entry 18:
First-principles (GGA-PBE) data for Tb7SnSe5 after structural relaxation, as listed in Alexandria via LeMat-Bulk.

Computed properties:
The density of states at the Fermi level is 7.90 states/eV/f.u. For the uncorrected formation energy, the calculation gives -19.58 eV/f.u. The space-group type is Cmcm, No. 63. The calculation puts the energy at -5.647 eV/atom.

Lattice parameters (Å, degrees): 4.147 6.996 24.260 90.00 90.00 107.24
Sites, in units of the cell vectors:
Se 0.453 0.907 0.641
Se 0.453 0.907 0.859
Se 0.547 0.094 0.359
Se 0.000 0.001 0.500
Se 0.547 0.094 0.141
Se 0.275 0.549 0.072
Se 0.000 0.001 0.000
Se 0.726 0.452 0.928
Se 0.726 0.452 0.572
Se 0.275 0.549 0.428
Tb 0.097 0.193 0.883
Tb 0.817 0.634 0.678
Tb 0.096 0.193 0.617
Tb 0.638 0.277 0.036
Tb 0.183 0.367 0.178
Tb 0.475 0.949 0.250
Tb 0.526 0.052 0.750
Tb 0.904 0.808 0.117
Tb 0.183 0.367 0.322
Tb 0.817 0.634 0.822
Tb 0.904 0.808 0.383
Tb 0.362 0.724 0.964
Tb 0.362 0.724 0.536
Tb 0.638 0.277 0.464
Sn 0.195 0.391 0.750
Sn 0.805 0.611 0.250



Entry 19:
First-principles (GGA-PBE) data for TbSn2Se4 after structural relaxation, as listed in Alexandria via LeMat-Bulk.

Computed properties:
The density of states at the Fermi level is 3.30 states/eV/f.u. For the uncorrected formation energy, the calculation gives -6.03 eV/f.u. The space-group type is Cmcm, No. 63. The calculation puts the energy at -4.657 eV/atom.

Lattice parameters (Å, degrees): 3.999 7.179 13.837 90.00 90.00 106.17
Sites, in units of the cell vectors:
Sn 0.867 0.734 0.934
Sn 0.133 0.266 0.066
Sn 0.133 0.266 0.434
Sn 0.867 0.734 0.566
Se 0.500 0.000 0.500
Se 0.035 0.071 0.250
Se 0.215 0.429 0.627
Se 0.215 0.429 0.873
Se 0.785 0.571 0.127
Se 0.785 0.571 0.373
Se 0.500 0.000 0.000
Se 0.965 0.929 0.750
Tb 0.613 0.226 0.750
Tb 0.387 0.774 0.250